Below is an optimized crystal structure of SmBiNO, with properties calculated at the PBE level.

Properties
- offset from the most stable computed form (meV/atom) = 0.0
- calculated volume (Å³/cell) = 296.3
- final energy (eV per atom) = -6.76

a = 5.912 Å, b = 8.546 Å, c = 5.866 Å
α = 90.00°, β = 90.00°, γ = 90.00°
Positions (direct):
1 Sm 0.008 0.123 0.000
2 Sm 0.492 0.123 0.500
3 Sm 0.508 0.877 0.000
4 Sm 0.992 0.877 0.500
5 Bi 0.008 0.624 0.009
6 Bi 0.492 0.624 0.509
7 Bi 0.508 0.376 0.009
8 Bi 0.992 0.376 0.509
9 N 0.097 0.616 0.592
10 N 0.403 0.616 0.092
11 N 0.597 0.384 0.592
12 N 0.903 0.384 0.092
13 O 0.248 0.992 0.250
14 O 0.252 0.992 0.750
15 O 0.748 0.008 0.250
16 O 0.752 0.008 0.750

***

Below is an optimized crystal structure of BiMo4PN2, with properties calculated at the PBE level.

Properties
- calculated volume (Å³/cell) = 121.2
- final energy (eV per atom) = -8.77

a = 3.336 Å, b = 3.336 Å, c = 12.576 Å
α = 90.00°, β = 90.00°, γ = 120.00°
Positions (direct):
1 Bi 0.000 0.000 0.000
2 Mo 0.000 0.000 0.379
3 Mo 0.000 0.000 0.621
4 Mo 0.667 0.333 0.215
5 Mo 0.667 0.333 0.785
6 P 0.667 0.333 0.500
7 N 0.333 0.667 0.246
8 N 0.333 0.667 0.754

***

Below is an optimized crystal structure of SrErCuS3, with properties calculated at the PBE level.

Properties
- calculated volume (Å³/cell) = 269.3
- final energy (eV per atom) = -5.39

a = 7.874 Å, b = 3.916 Å, c = 9.035 Å
α = 90.00°, β = 104.90°, γ = 90.00°
Positions (direct):
1 Sr 0.220 0.250 0.271
2 Sr 0.780 0.750 0.729
3 Er 0.313 0.750 0.841
4 Er 0.687 0.250 0.159
5 Cu 0.082 0.250 0.591
6 Cu 0.918 0.750 0.409
7 S 0.079 0.250 0.849
8 S 0.233 0.750 0.532
9 S 0.441 0.750 0.153
10 S 0.559 0.250 0.847
11 S 0.767 0.250 0.468
12 S 0.921 0.750 0.151

***

Below is an optimized crystal structure of BaMgNp, with properties calculated at the PBE level.

Properties
- offset from the most stable computed form (meV/atom) = 0.0
- calculated volume (Å³/cell) = 501.9
- final energy (eV per atom) = -4.42

a = 7.947 Å, b = 7.947 Å, c = 7.947 Å
α = 90.00°, β = 90.00°, γ = 90.00°
Positions (direct):
1 Ba 0.000 0.000 0.000
2 Ba 0.000 0.500 0.500
3 Ba 0.500 0.000 0.500
4 Ba 0.500 0.500 0.000
5 Mg 0.250 0.250 0.250
6 Mg 0.250 0.750 0.750
7 Mg 0.750 0.250 0.750
8 Mg 0.750 0.750 0.250
9 Np 0.000 0.000 0.500
10 Np 0.000 0.500 0.000
11 Np 0.500 0.000 0.000
12 Np 0.500 0.500 0.500

***

Below is an optimized crystal structure of TaZnCoPb, with properties calculated at the PBE level.

Properties
- offset from the most stable computed form (meV/atom) = 156.6
- calculated volume (Å³/cell) = 274.3
- final energy (eV per atom) = -5.35

a = 6.497 Å, b = 6.497 Å, c = 6.497 Å
α = 90.00°, β = 90.00°, γ = 90.00°
Positions (direct):
1 Ta 0.000 0.000 0.000
2 Ta 0.000 0.500 0.500
3 Ta 0.500 0.000 0.500
4 Ta 0.500 0.500 0.000
5 Zn 0.250 0.250 0.750
6 Zn 0.250 0.750 0.250
7 Zn 0.750 0.250 0.250
8 Zn 0.750 0.750 0.750
9 Co 0.000 0.000 0.500
10 Co 0.000 0.500 0.000
11 Co 0.500 0.000 0.000
12 Co 0.500 0.500 0.500
13 Pb 0.250 0.250 0.250
14 Pb 0.250 0.750 0.750
15 Pb 0.750 0.250 0.750
16 Pb 0.750 0.750 0.250

***

Below is an optimized crystal structure of LuAgNO, with properties calculated at the PBE level.

Properties
- offset from the most stable computed form (meV/atom) = 123.9
- calculated volume (Å³/cell) = 127.2
- final energy (eV per atom) = -6.18

a = 3.595 Å, b = 6.180 Å, c = 5.726 Å
α = 90.00°, β = 90.00°, γ = 90.00°
Positions (direct):
1 Lu 0.000 0.201 0.000
2 Lu 0.000 0.799 0.500
3 Ag 0.500 0.277 0.493
4 Ag 0.500 0.723 0.993
5 N 0.000 0.134 0.377
6 N 0.000 0.866 0.877
7 O 0.500 0.350 0.905
8 O 0.500 0.650 0.405

***

Below is an optimized crystal structure of HoZrPb, with properties calculated at the PBE level.

Properties
- offset from the most stable computed form (meV/atom) = 480.3
- calculated volume (Å³/cell) = 349.8
- final energy (eV per atom) = -5.53

a = 7.046 Å, b = 7.046 Å, c = 7.046 Å
α = 90.00°, β = 90.00°, γ = 90.00°
Positions (direct):
1 Ho 0.000 0.000 0.000
2 Ho 0.000 0.500 0.500
3 Ho 0.500 0.000 0.500
4 Ho 0.500 0.500 0.000
5 Zr 0.000 0.000 0.500
6 Zr 0.000 0.500 0.000
7 Zr 0.500 0.000 0.000
8 Zr 0.500 0.500 0.500
9 Pb 0.250 0.250 0.250
10 Pb 0.250 0.750 0.750
11 Pb 0.750 0.250 0.750
12 Pb 0.750 0.750 0.250

***

Below is an optimized crystal structure of SrPrNi2Sn4, with properties calculated at the PBE level.

Properties
- calculated volume (Å³/cell) = 383.5
- final energy (eV per atom) = -4.75

a = 4.562 Å, b = 4.530 Å, c = 18.560 Å
α = 90.00°, β = 90.00°, γ = 90.00°
Positions (direct):
1 Sr 0.000 0.000 0.000
2 Sr 0.000 0.500 0.500
3 Pr 0.500 0.000 0.219
4 Pr 0.500 0.500 0.719
5 Ni 0.000 0.000 0.789
6 Ni 0.000 0.500 0.289
7 Ni 0.500 0.000 0.425
8 Ni 0.500 0.500 0.925
9 Sn 0.000 0.000 0.358
10 Sn 0.000 0.000 0.655
11 Sn 0.000 0.500 0.155
12 Sn 0.000 0.500 0.858
13 Sn 0.500 0.000 0.562
14 Sn 0.500 0.000 0.856
15 Sn 0.500 0.500 0.062
16 Sn 0.500 0.500 0.356

***

Below is an optimized crystal structure of DyHo3C2S2, with properties calculated at the PBE level.

Properties
- calculated volume (Å³/cell) = 151.5
- final energy (eV per atom) = -6.90

a = 3.690 Å, b = 3.690 Å, c = 12.850 Å
α = 90.00°, β = 90.00°, γ = 120.00°
Positions (direct):
1 Dy 0.000 0.000 0.000
2 Ho 0.000 0.000 0.708
3 Ho 0.333 0.667 0.209
4 Ho 0.333 0.667 0.500
5 C 0.667 0.333 0.105
6 C 0.667 0.333 0.604
7 S 0.000 0.000 0.354
8 S 0.333 0.667 0.853

***

Below is an optimized crystal structure of Nd3Ni4B4C3, with properties calculated at the PBE level.

Properties
- calculated volume (Å³/cell) = 173.7
- final energy (eV per atom) = -6.91

a = 12.820 Å, b = 12.820 Å, c = 12.820 Å
α = 163.31°, β = 163.31°, γ = 23.68°
Positions (direct):
1 Nd 0.000 0.000 0.000
2 Nd 0.302 0.302 0.000
3 Nd 0.698 0.698 0.000
4 Ni 0.099 0.599 0.500
5 Ni 0.401 0.901 0.500
6 Ni 0.599 0.099 0.500
7 Ni 0.901 0.401 0.500
8 B 0.140 0.140 0.000
9 B 0.440 0.440 0.000
10 B 0.560 0.560 0.000
11 B 0.860 0.860 0.000
12 C 0.200 0.200 0.000
13 C 0.500 0.500 0.000
14 C 0.800 0.800 0.000

***

Below is an optimized crystal structure of Ba2InOsSe6, with properties calculated at the PBE level.

Properties
- offset from the most stable computed form (meV/atom) = 0.0
- calculated volume (Å³/cell) = 277.1
- final energy (eV per atom) = -4.66

a = 7.022 Å, b = 7.022 Å, c = 7.022 Å
α = 66.11°, β = 66.11°, γ = 66.11°
Positions (direct):
1 Ba 0.000 0.000 0.000
2 Ba 0.496 0.496 0.496
3 In 0.228 0.228 0.228
4 Os 0.732 0.732 0.732
5 Se 0.063 0.547 0.904
6 Se 0.434 0.980 0.583
7 Se 0.547 0.904 0.063
8 Se 0.583 0.434 0.980
9 Se 0.904 0.063 0.547
10 Se 0.980 0.583 0.434

***

Below is an optimized crystal structure of HoSiNi, with properties calculated at the PBE level.

Properties
- calculated volume (Å³/cell) = 148.3
- final energy (eV per atom) = -5.92

a = 6.767 Å, b = 6.767 Å, c = 3.739 Å
α = 90.00°, β = 90.00°, γ = 120.00°
Positions (direct):
1 Ho 0.000 0.584 0.000
2 Ho 0.416 0.416 0.000
3 Ho 0.584 0.000 0.000
4 Si 0.000 0.238 0.500
5 Si 0.238 0.000 0.500
6 Si 0.762 0.762 0.500
7 Ni 0.000 0.000 0.000
8 Ni 0.333 0.667 0.500
9 Ni 0.667 0.333 0.500